[1]
## Pr6Ge2Se3S (PBE-GGA)

Data for a relaxed structure of Pr6Ge2Se3S.

a b c (Å): 18.691 4.278 8.570
angles (deg): 90.00 103.79 90.00
Space group C2/m (No. 12)
Unique sites:
Pr 0.003 0.000 0.244 x4
Pr 0.164 0.500 0.090 x4
Pr 0.168 0.500 0.578 x4
Ge 0.165 0.000 0.331 x4
Se 0.000 0.500 0.500 x2
Se 0.166 0.000 0.834 x4
S 0.000 0.500 0.000 x2

The calculated volume is 665.5 Å³ per cell. The value obtained for the mass density is 6.29 g cm⁻³. Its total energy is -5.97 eV/atom.

[2]
## Rb3Al2As3 (PBE-GGA)

Data for a relaxed structure of Rb3Al2As3.

a b c (Å): 4.359 15.204 14.847
angles (deg): 90.00 90.00 90.00
Space group Cmcm (No. 63)
Unique sites:
Rb 0.000 0.068 0.113 x8
Rb 0.000 0.367 0.250 x4
Al 0.000 0.239 0.591 x8
As 0.000 0.305 0.750 x4
As 0.000 0.344 0.041 x8

The calculated volume is 984.0 Å³ per cell. The value obtained for the mass density is 3.61 g cm⁻³. The value obtained for the formation enthalpy at 0 K is -0.443 eV per atom.

[3]
## ScGaCo2Os (PBE-GGA)

Data for a relaxed structure of ScGaCo2Os.

a b c (Å): 4.522 4.522 4.921
angles (deg): 90.00 90.00 90.00
Space group P4/mmm (No. 123)
Unique sites:
Sc 0.000 0.000 0.000 x1
Ga 0.500 0.500 0.000 x1
Co 0.000 0.500 0.500 x2
Os 0.000 0.000 0.500 x1

The calculated volume is 100.6 Å³ per cell. The value obtained for the mass density is 6.98 g cm⁻³. The value obtained for the formation enthalpy at 0 K is 0.868 eV per atom.

[4]
## HgRu2S2 (PBE-GGA)

Data for a relaxed structure of HgRu2S2.

a b c (Å): 3.894 3.894 11.169
angles (deg): 90.00 90.00 90.00
Space group I4/mmm (No. 139)
Unique sites:
Hg 0.000 0.000 0.000 x2
Ru 0.000 0.000 0.370 x4
S 0.000 0.500 0.250 x4

The calculated volume is 169.4 Å³ per cell. The value obtained for the mass density is 9.15 g cm⁻³. Its total energy is -5.19 eV/atom.

[5]
## CoHCSe (PBE-GGA)

Data for a relaxed structure of CoHCSe.

a b c (Å): 3.356 3.892 4.118
angles (deg): 115.27 98.48 93.62
Space group P1 (No. 1)
Unique sites:
Co 0.000 0.000 0.000 x1
H 0.508 0.299 0.738 x1
C 0.472 0.047 0.796 x1
Se 0.071 0.672 0.374 x1

The energy above the most stable polymorph in this dataset is 0.135 eV per atom. The calculated volume is 47.6 Å³ per cell. The value obtained for the mass density is 5.26 g cm⁻³.

[6]
## SiHPtN2 (PBE-GGA)

Data for a relaxed structure of SiHPtN2.

a b c (Å): 3.908 3.908 3.027
angles (deg): 90.00 90.00 90.00
Space group P4/mmm (No. 123)
Unique sites:
Si 0.000 0.000 0.000 x1
H 0.000 0.000 0.500 x1
Pt 0.500 0.500 0.000 x1
N 0.000 0.500 0.500 x2

The calculated volume is 46.2 Å³ per cell. The value obtained for the mass density is 9.06 g cm⁻³. Its total energy is -4.61 eV/atom.

[7]
## Mn3H6Rh2 (PBE-GGA)

Data for a relaxed structure of Mn3H6Rh2.

a b c (Å): 4.212 4.219 10.031
angles (deg): 90.00 102.02 90.00
Space group C2/m (No. 12)
Unique sites:
Mn 0.000 0.000 0.000 x2
Mn 0.202 0.000 0.405 x4
H 0.192 0.250 0.884 x8
H 0.199 0.500 0.401 x4
Rh 0.109 0.500 0.218 x4

The calculated volume is 174.3 Å³ per cell. The value obtained for the mass density is 7.18 g cm⁻³. Its total energy is -5.68 eV/atom.

[8]
## Pu2TcGe6Os (PBE-GGA)

Data for a relaxed structure of Pu2TcGe6Os.

a b c (Å): 6.0362 6.0362 38.2112
angles (deg): 90.00 90.00 120.00
Space group R-3m (No. 166, hexagonal axes)
Unique sites:
Pu 0.0000 0.0000 0.1263 x6
Pu 0.0000 0.0000 0.3153 x6
Tc 0.0000 0.0000 0.0000 x3
Tc 0.0000 0.0000 0.5000 x3
Ge 0.0340 0.5170 0.7177 x18
Ge 0.0569 0.5284 0.8715 x18
Os 0.0000 0.0000 0.4239 x6

The calculated volume is 1205.7 Å³ per cell. The value obtained for the mass density is 10.02 g cm⁻³. The value obtained for the formation enthalpy at 0 K is -0.133 eV per atom.

[9]
## TbDy3Th2 (PBE-GGA)

Data for a relaxed structure of TbDy3Th2.

a b c (Å): 10.037 3.570 10.659
angles (deg): 90.00 90.05 90.00
Space group P2_1/m (No. 11)
Unique sites:
Tb 0.124 0.250 0.251 x2
Dy 0.132 0.250 0.918 x2
Dy 0.369 0.750 0.418 x2
Dy 0.376 0.750 0.750 x2
Th 0.122 0.250 0.582 x2
Th 0.379 0.750 0.082 x2

The energy above the most stable polymorph in this dataset is 0.000 eV per atom. The calculated volume is 381.9 Å³ per cell. The value obtained for the mass density is 9.66 g cm⁻³. The value obtained for the formation enthalpy at 0 K is 0.030 eV per atom.

[10]
## PaV3P2 (PBE-GGA)

Data for a relaxed structure of PaV3P2.

a b c (Å): 13.342 4.032 7.635
angles (deg): 90.00 116.81 90.00
Space group C2/m (No. 12)
Unique sites:
Pa 0.153 0.000 0.063 x4
V 0.044 0.000 0.362 x4
V 0.081 0.500 0.672 x4
V 0.188 0.500 0.473 x4
P 0.025 0.500 0.162 x4
P 0.188 0.000 0.701 x4

The calculated volume is 366.6 Å³ per cell. The value obtained for the mass density is 8.08 g cm⁻³. The value obtained for the formation enthalpy at 0 K is -0.755 eV per atom.

[11]
## TmPu3Hg12 (PBE-GGA)

Data for a relaxed structure of TmPu3Hg12.

a b c (Å): 4.645 4.645 18.890
angles (deg): 90.00 90.00 90.00
Space group P4/mmm (No. 123)
Unique sites:
Tm 0.000 0.000 0.000 x1
Pu 0.000 0.000 0.246 x2
Pu 0.000 0.000 0.500 x1
Hg 0.000 0.500 0.120 x4
Hg 0.000 0.500 0.373 x4
Hg 0.500 0.500 0.000 x1
Hg 0.500 0.500 0.244 x2
Hg 0.500 0.500 0.500 x1

The calculated volume is 407.5 Å³ per cell. The value obtained for the mass density is 13.48 g cm⁻³. The value obtained for the formation enthalpy at 0 K is -0.126 eV per atom.

[12]
## Cd2NiBi (PBE-GGA)

Data for a relaxed structure of Cd2NiBi.

a b c (Å): 3.1913 3.1913 32.8983
angles (deg): 90.00 90.00 120.00
Space group R-3m (No. 166, hexagonal axes)
Unique sites:
Cd 0.0000 0.0000 0.0776 x6
Ni 0.0000 0.0000 0.0000 x3
Bi 0.0000 0.0000 0.5000 x3

The calculated volume is 290.2 Å³ per cell. The value obtained for the mass density is 8.46 g cm⁻³. The value obtained for the formation enthalpy at 0 K is 0.542 eV per atom.

[13]
## LaMg12Rh6 (PBE-GGA)

Data for a relaxed structure of LaMg12Rh6.

a b c (Å): 11.7984 11.7984 9.4224
angles (deg): 90.00 90.00 120.00
Space group R-3m (No. 166, hexagonal axes)
Unique sites:
La 0.0000 0.0000 0.0000 x3
Mg 0.0000 0.3795 0.5000 x18
Mg 0.0897 0.1793 0.3515 x18
Rh 0.0341 0.5170 0.2688 x18

The calculated volume is 1135.9 Å³ per cell. The value obtained for the mass density is 4.60 g cm⁻³. The value obtained for the formation enthalpy at 0 K is -0.281 eV per atom.

[14]
## TcHSe2 (PBE-GGA)

Data for a relaxed structure of TcHSe2.

a b c (Å): 6.322 6.322 5.615
angles (deg): 90.00 90.00 90.00
Space group I4/mcm (No. 140)
Unique sites:
Tc 0.000 0.000 0.250 x4
H 0.000 0.500 0.250 x4
Se 0.175 0.325 0.000 x8

The energy above the most stable polymorph in this dataset is 0.654 eV per atom. The calculated volume is 224.4 Å³ per cell. The value obtained for the mass density is 7.60 g cm⁻³.

[15]
## BaRu2Au (PBE-GGA)

Data for a relaxed structure of BaRu2Au.

a b c (Å): 3.856 5.627 8.976
angles (deg): 90.00 90.00 90.00
Space group Imm2 (No. 44)
Unique sites:
Ba 0.000 0.000 0.000 x2
Ru 0.000 0.000 0.465 x2
Ru 0.000 0.500 0.819 x2
Au 0.000 0.500 0.197 x2

The energy above the most stable polymorph in this dataset is 0.515 eV per atom. The calculated volume is 194.8 Å³ per cell. The value obtained for the mass density is 9.15 g cm⁻³. The value obtained for the formation enthalpy at 0 K is 0.645 eV per atom.

[16]
## BPtSe2Br (PBE-GGA)

Data for a relaxed structure of BPtSe2Br.

a b c (Å): 4.564 4.564 4.293
angles (deg): 90.00 90.00 90.00
Space group P4/mmm (No. 123)
Unique sites:
B 0.000 0.000 0.000 x1
Pt 0.500 0.500 0.500 x1
Se 0.000 0.500 0.000 x2
Br 0.000 0.000 0.500 x1

The energy above the most stable polymorph in this dataset is 0.000 eV per atom. The calculated volume is 89.4 Å³ per cell. The value obtained for the mass density is 8.24 g cm⁻³.

[17]
## Ce3Pu2Si3 (PBE-GGA)

Data for a relaxed structure of Ce3Pu2Si3.

a b c (Å): 8.7579 8.7579 5.9926
angles (deg): 90.00 90.00 120.00
Space group P6_3/mcm (No. 193)
Unique sites:
Ce 0.0000 0.2794 0.2500 x6
Pu 0.3333 0.6667 0.0000 x4
Si 0.0000 0.3759 0.7500 x6

The calculated volume is 398.1 Å³ per cell. The value obtained for the mass density is 8.28 g cm⁻³. Its total energy is -8.30 eV/atom.

[18]
## Gd2GeTe (PBE-GGA)

Data for a relaxed structure of Gd2GeTe.

a b c (Å): 4.2959 4.2959 21.5204
angles (deg): 90.00 90.00 120.00
Space group R-3m (No. 166, hexagonal axes)
Unique sites:
Gd 0.0000 0.0000 0.2406 x6
Ge 0.0000 0.0000 0.5000 x3
Te 0.0000 0.0000 0.0000 x3

The calculated volume is 343.9 Å³ per cell. The value obtained for the mass density is 7.46 g cm⁻³. Its total energy is -10.18 eV/atom.

[19]
## Pr7InCo2 (PBE-GGA)

Data for a relaxed structure of Pr7InCo2.

a b c (Å): 9.338 13.763 5.122
angles (deg): 90.00 90.00 90.00
Space group Cmmm (No. 65)
Unique sites:
Pr 0.000 0.000 0.000 x2
Pr 0.000 0.206 0.500 x4
Pr 0.180 0.369 0.000 x8
In 0.000 0.500 0.500 x2
Co 0.000 0.200 0.000 x4

The calculated volume is 658.3 Å³ per cell. The value obtained for the mass density is 6.15 g cm⁻³. The value obtained for the formation enthalpy at 0 K is 0.014 eV per atom.

[20]
## FeRe2Te (PBE-GGA)

Data for a relaxed structure of FeRe2Te.

a b c (Å): 3.121 4.408 4.607
angles (deg): 90.00 90.00 90.00
Space group Pmmm (No. 47)
Unique sites:
Fe 0.000 0.000 0.000 x1
Re 0.000 0.500 0.500 x1
Re 0.500 0.000 0.500 x1
Te 0.500 0.500 0.000 x1

The calculated volume is 63.4 Å³ per cell. The value obtained for the mass density is 14.56 g cm⁻³. Its total energy is -8.41 eV/atom.

[21]
## Cs2LaIrO6 (PBE-GGA)

Data for a relaxed structure of Cs2LaIrO6.

a b c (Å): 6.7033 6.7033 6.0998
angles (deg): 90.00 90.00 120.00
Space group P-3m1 (No. 164)
Unique sites:
Cs 0.3333 0.6667 0.3805 x2
La 0.0000 0.0000 0.0000 x1
Ir 0.0000 0.0000 0.5000 x1
O 0.1312 0.2623 0.6970 x6

The calculated volume is 237.4 Å³ per cell. The value obtained for the mass density is 4.85 g cm⁻³. Its total energy is -6.10 eV/atom.

[22]
## FeSbTe (PBE-GGA)

Data for a relaxed structure of FeSbTe.

a b c (Å): 3.153 3.153 13.828
angles (deg): 90.00 90.00 90.00
Space group I4mm (No. 107)
Unique sites:
Fe 0.000 0.000 0.000 x2
Sb 0.000 0.000 0.625 x2
Te 0.000 0.000 0.391 x2

The calculated volume is 137.5 Å³ per cell. The value obtained for the mass density is 7.37 g cm⁻³. Its total energy is -5.09 eV/atom.

[23]
## TlAg2SeCl8 (PBE-GGA)

Data for a relaxed structure of TlAg2SeCl8.

a b c (Å): 6.321 6.409 8.419
angles (deg): 95.76 95.97 90.62
Space group P-1 (No. 2)
Unique sites:
Tl 0.000 0.000 0.000 x1
Ag 0.446 0.451 0.768 x2
Se 0.000 0.000 0.500 x1
Cl 0.186 0.799 0.296 x2
Cl 0.227 0.841 0.707 x2
Cl 0.258 0.290 0.506 x2
Cl 0.310 0.323 0.029 x2

The calculated volume is 337.4 Å³ per cell. The value obtained for the mass density is 3.85 g cm⁻³. Its total energy is -2.62 eV/atom.